(1)
Li2Ce2PrPb2 | PBE-GGA | optimized geometry Values from VASP.

Output
Crystal system = trigonal
Fermi-level density of states = 12.110 states/eV per cell
Calculated formation energy = -314 meV per atom

Quantum ESPRESSO input file:
```
&SYSTEM
  ibrav = 0, nat = 7, ntyp = 4
/
ATOMIC_SPECIES
Li 6.94 Li.upf
Ce 140.12 Ce.upf
Pr 140.91 Pr.upf
Pb 207.20 Pb.upf
CELL_PARAMETERS angstrom
2.3467 1.3548 9.4551
-2.3467 1.3548 9.4551
0.0000 -2.7097 9.4551
ATOMIC_POSITIONS angstrom
Li 0.0000 0.0000 2.3799
Li 0.0000 0.0000 25.9853
Ce 0.0000 0.0000 10.0661
Ce 0.0000 0.0000 18.2990
Pr 0.0000 0.0000 14.1826
Pb 0.0000 0.0000 6.6937
Pb 0.0000 0.0000 21.6714
```

(2)
LiCePrPb | PBE-GGA | optimized geometry Values from VASP.

Output
Crystal system = cubic
Fermi-level density of states = 10.914 states/eV per cell
Calculated formation energy = -206 meV per atom

Quantum ESPRESSO input file:
```
&SYSTEM
  ibrav = 0, nat = 4, ntyp = 4
/
ATOMIC_SPECIES
Li 6.94 Li.upf
Ce 140.12 Ce.upf
Pr 140.91 Pr.upf
Pb 207.20 Pb.upf
CELL_PARAMETERS angstrom
0.0000 3.8768 3.8768
3.8768 0.0000 3.8768
3.8768 3.8768 0.0000
ATOMIC_POSITIONS angstrom
Li 0.0000 0.0000 0.0000
Ce 1.9384 1.9384 1.9384
Pr 5.8152 5.8152 5.8152
Pb 3.8768 3.8768 3.8768
```

(3)
Li2CePr2Pb2 | PBE-GGA | optimized geometry Values from VASP.

Output
Crystal system = trigonal
Fermi-level density of states = 10.842 states/eV per cell
Calculated formation energy = -302 meV per atom

Quantum ESPRESSO input file:
```
&SYSTEM
  ibrav = 0, nat = 7, ntyp = 4
/
ATOMIC_SPECIES
Li 6.94 Li.upf
Ce 140.12 Ce.upf
Pr 140.91 Pr.upf
Pb 207.20 Pb.upf
CELL_PARAMETERS angstrom
2.4805 1.4321 9.2247
-2.4805 1.4321 9.2247
0.0000 -2.8642 9.2247
ATOMIC_POSITIONS angstrom
Li 0.0000 0.0000 2.7246
Li 0.0000 0.0000 24.9495
Ce 0.0000 0.0000 13.8371
Pr 0.0000 0.0000 10.2856
Pr 0.0000 0.0000 17.3885
Pb 0.0000 0.0000 6.4733
Pb 0.0000 0.0000 21.2008
```

(4)
LiCePtPb | PBE-GGA | optimized geometry Values from VASP.

Output
Crystal system = cubic
Fermi-level density of states = 5.916 states/eV per cell
Calculated formation energy = -624 meV per atom

Quantum ESPRESSO input file:
```
&SYSTEM
  ibrav = 0, nat = 4, ntyp = 4
/
ATOMIC_SPECIES
Li 6.94 Li.upf
Ce 140.12 Ce.upf
Pt 195.08 Pt.upf
Pb 207.20 Pb.upf
CELL_PARAMETERS angstrom
0.0000 3.4828 3.4828
3.4828 0.0000 3.4828
3.4828 3.4828 0.0000
ATOMIC_POSITIONS angstrom
Li 0.0000 0.0000 0.0000
Ce 5.2242 5.2242 5.2242
Pt 3.4828 3.4828 3.4828
Pb 1.7414 1.7414 1.7414
```

Calculated total magnetic moment in order - 2.28; 1.55; 1.28; 0.95 μB/f.u.